{"formula": "Na3ZnSb3", "functional": "PBE-GGA", "state": "relaxed", "cell": [[4.9292, 0.0000, 0.7425], [2.4388, 5.6948, 0.5424], [0.3953, -0.0413, 14.1085]], "species": ["Na", "Na", "Na", "Na", "Na", "Na", "Zn", "Zn", "Sb", "Sb", "Sb", "Sb", "Sb", "Sb"], "fractional_positions": [[0.5893, 0.7405, 0.0810], [0.4107, 0.2595, 0.9190], [0.2622, 0.2536, 0.2220], [0.4838, 0.6615, 0.3708], [0.5162, 0.3385, 0.6292], [0.7378, 0.7464, 0.7780], [0.2396, 0.9193, 0.6015], [0.7604, 0.0807, 0.3985], [0.8776, 0.1695, 0.0752], [0.1379, 0.2667, 0.4575], [0.9647, 0.8341, 0.2364], [0.1224, 0.8305, 0.9248], [0.0353, 0.1659, 0.7636], [0.8621, 0.7333, 0.5425]], "relative_energy_mev_per_atom": 0, "space_group": "C2/m, No. 12"}

***

{"formula": "SrTcBi2Se", "functional": "PBE-GGA", "state": "relaxed", "cell": [[-2.6023, -4.4124, -0.5675], [4.3704, -2.1056, -3.6684], [2.4649, -1.9774, 4.0715]], "species": ["Sr", "Se", "Bi", "Bi", "Tc"], "fractional_positions": [[0.0000, 0.5000, 0.0000], [0.5000, 0.5000, 0.5000], [0.5000, 0.0000, 0.0000], [0.0000, 0.0000, 0.5000], [0.0000, 0.0000, 0.0000]], "energy_ev_per_atom": -4.65, "space_group": "P4/mmm, No. 123"}

***

{"formula": "Tb2PmPr", "functional": "PBE-GGA", "state": "relaxed", "cell": [[-2.5340, 0.3134, 2.5750], [-3.1794, -1.7048, -0.3678], [2.5103, -9.8821, 6.2266]], "species": ["Tb", "Tb", "Pr", "Pm"], "fractional_positions": [[0.2494, 0.2494, 0.2517], [0.7506, 0.7506, 0.7483], [0.0000, 0.0000, 0.0000], [0.5000, 0.5000, 0.5000]], "relative_energy_mev_per_atom": 0, "space_group": "R-3m, No. 166", "formation_energy_ev_per_atom": 0.012}

***

{"formula": "Ti2Cu3Ni3", "functional": "PBE-GGA", "state": "relaxed", "cell": [[-4.2036, 1.1346, -1.6764], [1.6557, -1.4195, -4.1244], [-1.7177, -4.3198, 0.3956]], "species": ["Cu", "Cu", "Cu", "Ni", "Ni", "Ni", "Ti", "Ti"], "fractional_positions": [[0.7413, 0.0000, 0.7413], [0.2587, 0.7413, 0.0000], [0.0000, 0.2587, 0.2587], [0.2047, 0.7953, 0.5000], [0.7953, 0.5000, 0.7953], [0.5000, 0.2047, 0.2047], [0.7262, 0.7262, 0.2738], [0.2738, 0.2738, 0.7262]], "space_group": "R32, No. 155", "formation_energy_ev_per_atom": -0.264}

***

{"formula": "SmPu2Sb", "functional": "PBE-GGA", "state": "relaxed", "cell": [[5.0593, 0.0000, 0.0000], [0.0000, 4.6053, 0.0000], [0.0000, 0.0000, 4.6053]], "species": ["Sb", "Pu", "Pu", "Sm"], "fractional_positions": [[0.5000, 0.0000, 0.0000], [0.0000, 0.0000, 0.5000], [0.0000, 0.5000, 0.0000], [0.5000, 0.5000, 0.5000]], "energy_ev_per_atom": -9.78, "space_group": "P4/mmm, No. 123"}

***

{"formula": "Na2HfPbSe4", "functional": "PBE-GGA", "state": "relaxed", "cell": [[-2.7010, -0.5414, 2.9859], [5.4610, -0.8157, 4.7920], [1.6730, 6.6502, 2.7191]], "species": ["Se", "Se", "Se", "Se", "Hf", "Na", "Na", "Pb"], "fractional_positions": [[0.5000, 0.7191, 0.2857], [0.0000, 0.2693, 0.2802], [0.0000, 0.7307, 0.7198], [0.5000, 0.2809, 0.7143], [0.0000, 0.5000, 0.5000], [0.0000, 0.0000, 0.0000], [0.5000, 0.0000, 0.5000], [0.5000, 0.5000, 0.0000]], "energy_ev_per_atom": -4.86, "space_group": "P2/m, No. 10"}